# BaGa (PBE, relaxed)
# Spin magnetization, μB per cell: 1.42
# Energy relative to the elements, eV per atom: -0.2892
# ρ, kg/m3: 3978
# Uncorrected energy, eV/atom: -2.76
data_BaGa
_cell_length_a 12.517
_cell_length_b 12.517
_cell_length_c 4.413
_cell_angle_alpha 90.00
_cell_angle_beta 90.00
_cell_angle_gamma 90.00
_space_group_name_H-M_alt 'I 4/m m m'
_space_group_IT_number 139
_space_group_name_Hall '-I 4 2'
loop_
_atom_site_label
_atom_site_type_symbol
_atom_site_fract_x
_atom_site_fract_y
_atom_site_fract_z
_atom_site_occupancy
Ba1 Ba 0.000 0.250 0.000 1
Ga1 Ga 0.215 0.215 0.500 1